[1]
Crystalline RbPdAuSe2S at its relaxed geometry. Source: OQMD, functional GGA-PBE.

```
RbPdAuSe2S
1.0
1.982 -7.554 0.000
1.982 7.554 0.000
0.000 0.000 10.684
Pd Au S Se Rb
2 2 2 4 2
direct
0.500 0.500 0.500
0.500 0.500 0.000
0.921 0.079 0.750
0.079 0.921 0.250
0.467 0.533 0.250
0.533 0.467 0.750
0.106 0.894 0.479
0.894 0.106 0.979
0.894 0.106 0.521
0.106 0.894 0.021
0.773 0.227 0.250
0.227 0.773 0.750
```

Output
- space-group type = Cmcm
- uncorrected energy (eV per atom) = -3.71

[2]
Crystalline RbTe2PdAuS at its relaxed geometry. Source: OQMD, functional GGA-PBE.

```
RbTe2PdAuS
1.0
2.746 2.167 -5.957
-5.867 -0.254 3.638
2.719 10.647 5.127
Te S Rb Pd Au
4 2 2 2 2
direct
0.123 0.877 0.469
0.123 0.877 0.031
0.877 0.123 0.969
0.877 0.123 0.531
0.492 0.508 0.250
0.508 0.492 0.750
0.786 0.214 0.250
0.214 0.786 0.750
0.500 0.500 0.000
0.500 0.500 0.500
0.929 0.071 0.750
0.071 0.929 0.250
```

Output
- space-group type = Cmcm
- uncorrected energy (eV per atom) = -3.60